Run 1
Computed, not measured: a relaxed structure of SrLiAl at the PBE-GGA level of DFT.

Structure (extended XYZ):
```
18
Lattice="7.660 0.000 0.000 3.830 8.112 -0.067 3.830 2.638 7.672" Properties=species:S:1:pos:R:3 pbc="T T T"
Sr 10.321 4.006 5.737
Sr 10.321 6.744 1.868
Sr 7.372 1.808 4.182
Sr 7.375 4.543 0.311
Sr 7.375 6.208 7.294
Sr 7.372 8.942 3.423
Al 3.587 0.000 0.000
Al 4.984 6.520 4.611
Al 8.814 9.607 6.795
Al 7.417 5.375 3.802
Al 4.984 4.231 2.994
Al 1.154 1.143 0.810
Li 9.628 3.572 2.528
Li 5.790 6.741 1.866
Li 9.628 7.178 5.077
Li 5.790 4.009 5.739
Li 13.458 8.948 6.329
Li 5.798 1.802 1.276
```

DOS at the Fermi energy = 1.8 states/eV/f.u.
SG = Ima2 (46)

Run 2
Computed, not measured: a relaxed structure of SrLiAl at the PBE-GGA level of DFT.

Structure (extended XYZ):
```
3
Lattice="6.289 0.030 -0.033 5.138 3.625 -0.025 1.150 0.360 3.578" Properties=species:S:1:pos:R:3 pbc="T T T"
Al 11.101 3.550 0.058
Sr 7.935 2.535 1.178
Li 4.968 1.584 2.227
```

DOS at the Fermi energy = 0.8 states/eV/f.u.
SG = I4mm (107)

Most stable = run 1

Run 1
Computed, not measured: a relaxed structure of SrLiAl at the PBE-GGA level of DFT.

Structure (extended XYZ):
```
3
Lattice="5.352 0.000 0.000 2.676 4.635 0.000 2.676 1.545 4.370" Properties=species:S:1:pos:R:3 pbc="T T T"
Li 5.352 3.090 2.185
Al 0.000 0.000 0.000
Sr 2.676 1.545 1.093
```

DOS at the Fermi energy = 4.0 states/eV/f.u.
SG = F-43m (216)

Run 2
Computed, not measured: a relaxed structure of SrLiAl at the PBE-GGA level of DFT.

Structure (extended XYZ):
```
3
Lattice="-4.228 2.564 0.879 -3.235 0.868 -3.742 -4.432 -2.360 -0.086" Properties=species:S:1:pos:R:3 pbc="T T T"
Al -5.948 0.536 -1.475
Sr 0.000 0.000 0.000
Li -2.974 0.268 -0.737
```

DOS at the Fermi energy = 3.2 states/eV/f.u.
SG = F-43m (216)

Most stable = run 2

Run 1
Computed, not measured: a relaxed structure of SrLiAl at the PBE-GGA level of DFT.

Structure (extended XYZ):
```
6
Lattice="4.385 -0.006 0.855 2.115 3.841 0.855 0.252 0.149 10.391" Properties=species:S:1:pos:R:3 pbc="T T T"
Al 0.997 0.588 0.730
Al 5.755 3.396 11.370
Li 3.729 2.200 10.073
Li 3.023 1.784 2.028
Sr 1.952 1.152 7.514
Sr 4.800 2.833 4.586
```

DOS at the Fermi energy = 1.5 states/eV/f.u.
SG = R-3m (166)

Run 2
Computed, not measured: a relaxed structure of SrLiAl at the PBE-GGA level of DFT.

Structure (extended XYZ):
```
3
Lattice="5.092 0.000 0.000 -2.546 4.410 0.000 0.000 0.000 3.744" Properties=species:S:1:pos:R:3 pbc="T T T"
Sr 0.000 2.940 2.496
Li 2.546 1.470 0.623
Al 0.000 0.000 0.625
```

DOS at the Fermi energy = 3.5 states/eV/f.u.
SG = P-6m2 (187)

Most stable = run 1

Run 1
Computed, not measured: a relaxed structure of Sr2Li2Al at the PBE-GGA level of DFT.

Structure (extended XYZ):
```
5
Lattice="5.590 0.000 2.126 -0.758 4.552 1.993 0.806 0.156 6.291" Properties=species:S:1:pos:R:3 pbc="T T T"
Li 3.890 2.276 2.620
Li 0.942 2.276 1.499
Sr 1.406 3.722 4.713
Sr 4.232 0.987 5.696
Al 0.000 0.000 0.000
```

DOS at the Fermi energy = 3.4 states/eV/f.u.
SG = Immm (71)

Run 2
Computed, not measured: a relaxed structure of Sr2Li2Al at the PBE-GGA level of DFT.

Structure (extended XYZ):
```
5
Lattice="-3.475 -1.405 -1.220 1.587 -0.887 -3.498 1.602 -10.506 1.170" Properties=species:S:1:pos:R:3 pbc="T T T"
Li 1.122 -6.270 -2.343
Li -1.409 -6.529 -1.204
Sr 0.168 -9.854 -1.867
Sr -0.455 -2.944 -1.681
Al 0.000 0.000 0.000
```

DOS at the Fermi energy = 3.7 states/eV/f.u.
SG = I4/mmm (139)

Run 3
Computed, not measured: a relaxed structure of Sr2Li2Al at the PBE-GGA level of DFT.

Structure (extended XYZ):
```
10
Lattice="-2.302 -3.508 6.484 7.371 -0.979 2.087 -0.083 4.474 2.391" Properties=species:S:1:pos:R:3 pbc="T T T"
Sr 4.618 0.886 3.886
Sr 4.320 -0.981 7.370
Sr 0.666 0.969 3.593
Sr 0.368 -0.898 7.077
Li 2.425 -0.819 1.617
Li 2.644 -3.667 6.955
Li -0.490 -2.338 4.359
Li 5.560 -2.148 4.212
Al 0.000 0.000 0.000
Al 2.535 -2.243 4.286
```

DOS at the Fermi energy = 4.3 states/eV/f.u.
SG = P4/mbm (127)

Most stable = run 1

Run 1
Computed, not measured: a relaxed structure of Sr3LiAl at the PBE-GGA level of DFT.

Structure (extended XYZ):
```
10
Lattice="-4.407 -2.886 2.318 2.697 -0.033 5.088 -7.143 8.253 3.841" Properties=species:S:1:pos:R:3 pbc="T T T"
Sr -8.033 4.437 9.176
Sr -1.884 3.904 5.913
Sr -3.677 -0.975 3.573
Sr -7.164 5.870 5.466
Sr -5.419 2.444 4.519
Sr -0.138 0.478 4.965
Li -2.366 2.220 2.899
Li -4.937 4.128 7.533
Al -8.522 2.767 6.166
Al -3.187 0.695 6.583
```

DOS at the Fermi energy = 4.4 states/eV/f.u.
SG = Cmcm (63)

Run 2
Computed, not measured: a relaxed structure of Sr3LiAl at the PBE-GGA level of DFT.

Structure (extended XYZ):
```
5
Lattice="-0.438 -1.930 -6.014 -2.144 -5.625 1.961 -5.941 2.172 -0.264" Properties=species:S:1:pos:R:3 pbc="T T T"
Sr -0.219 -0.965 -3.007
Sr -1.072 -2.813 0.981
Sr -2.971 1.086 -0.132
Al 0.000 0.000 0.000
Li -4.262 -2.691 -2.159
```

DOS at the Fermi energy = 2.8 states/eV/f.u.
SG = Pm-3m (221)

Most stable = run 1

Run 1
Computed, not measured: a relaxed structure of Sr4Li3Al at the PBE-GGA level of DFT.

Structure (extended XYZ):
```
8
Lattice="5.588 0.000 1.649 2.550 4.972 1.649 0.054 0.033 10.107" Properties=species:S:1:pos:R:3 pbc="T T T"
Sr 3.065 1.873 10.195
Sr 5.127 3.132 3.210
Sr 7.177 4.385 6.554
Sr 1.015 0.620 6.852
Li 4.096 2.502 6.703
Li 2.050 1.253 3.343
Li 6.142 3.752 10.063
Al 0.000 0.000 0.000
```

DOS at the Fermi energy = 7.1 states/eV/f.u.
SG = R-3m (166)

Run 2
Computed, not measured: a relaxed structure of Sr4Li3Al at the PBE-GGA level of DFT.

Structure (extended XYZ):
```
8
Lattice="-2.129 -1.796 3.422 4.493 -0.414 2.578 -1.796 11.666 5.006" Properties=species:S:1:pos:R:3 pbc="T T T"
Li 1.235 6.362 4.107
Li -2.765 10.148 6.451
Li -0.778 5.053 2.168
Al 1.066 -0.348 3.325
Sr 0.692 9.887 5.620
Sr -2.235 6.702 4.972
Sr 0.577 2.824 4.686
Sr -0.249 1.616 0.693
```

DOS at the Fermi energy = 6.8 states/eV/f.u.
SG = Pmm2 (25)

Most stable = run 1